No. 1
ZrCrSb2: relaxed, PBE-GGA.

Summary:
- ΔE to the lowest computed polymorph: 0.250 eV/atom

Cell lengths 7.6455, 7.6455, 6.3304 Å; angles 90.00, 90.00, 90.00 degrees
Closest atoms and distances in Å follow each position.
Space group I-42d (No. 122)
Symmetry-distinct sites (fractional):
Zr 0.0000 0.0000 0.0000 [4 per cell]  4 Sb 2.95, 2 Cr 3.17
Cr 0.0000 0.0000 0.5000 [4 per cell]  4 Sb 2.69
Sb 0.2246 0.2500 0.6250 [8 per cell]  2 Cr 2.69, 2 Zr 2.95


No. 2
ZrCrSb4: relaxed, PBE-GGA.

Cell lengths 8.6075, 8.6075, 8.6075 Å; angles 90.00, 90.00, 90.00 degrees
Closest atoms and distances in Å follow each position.
Space group F-43m (No. 216)
Symmetry-distinct sites (fractional):
Zr 0.0000 0.0000 0.0000 [4 per cell]  12 Sb 3.57, 4 Cr 3.73
Cr 0.2500 0.2500 0.7500 [4 per cell]  12 Sb 3.57, 4 Zr 3.73
Sb 0.1250 0.1250 0.3750 [16 per cell]  6 Sb 3.04


No. 3
ZrCr2Sb: relaxed, PBE-GGA.

Cell lengths 3.1710, 3.1710, 25.1702 Å; angles 90.00, 90.00, 120.00 degrees
Closest atoms and distances in Å follow each position.
Space group R3m (No. 160, hexagonal axes)
Symmetry-distinct sites (fractional):
Zr 0.0000 0.0000 0.0000 [3 per cell]  3 Cr 2.81, 3 Sb 3.10
Cr 0.0000 0.0000 0.4796 [3 per cell]  3 Cr 2.40
Cr 0.0000 0.0000 0.7514 [3 per cell]  3 Cr 2.40
Sb 0.0000 0.0000 0.2341 [3 per cell]  3 Cr 2.87, 3 Zr 3.10, 6 Sb 3.17


No. 4
ZrCr2Sb: relaxed, PBE-GGA.

Cell lengths 3.1929, 3.1929, 26.7804 Å; angles 90.00, 90.00, 120.00 degrees
Closest atoms and distances in Å follow each position.
Space group R-3m (No. 166, hexagonal axes)
Symmetry-distinct sites (fractional):
Zr 0.0000 0.0000 0.0000 [3 per cell]  6 Cr 2.89, 6 Zr 3.19
Cr 0.0000 0.0000 0.2501 [6 per cell]  3 Zr 2.89, 3 Sb 2.90, 6 Cr 3.19
Sb 0.0000 0.0000 0.5000 [3 per cell]  6 Cr 2.90, 6 Sb 3.19


No. 5
ZrCrSb: relaxed, PBE-GGA.

Cell lengths 4.5841, 4.5841, 3.2481 Å; angles 90.00, 90.00, 120.00 degrees
Closest atoms and distances in Å follow each position.
Space group P-6m2 (No. 187)
Symmetry-distinct sites (fractional):
Zr 0.0000 0.0000 0.0000 [1 per cell]  6 Cr 3.11, 6 Sb 3.11, 2 Zr 3.25
Cr 0.3333 0.6667 0.5000 [1 per cell]  3 Sb 2.65
Sb 0.6667 0.3333 0.5000 [1 per cell]  3 Cr 2.65


No. 6
ZrCr2Sb: relaxed, PBE-GGA.

Cell lengths 5.8780, 8.9600, 3.0432 Å; angles 90.00, 118.13, 90.00 degrees
Closest atoms and distances in Å follow each position.
Space group C2/m (No. 12)
Symmetry-distinct sites (fractional):
Zr 0.0000 0.0000 0.0000 [2 per cell]  4 Cr 2.72, 2 Sb 2.94, 2 Zr 3.04
Cr 0.2500 0.2500 0.5000 [4 per cell]  2 Zr 2.72, 2 Sb 2.72, 4 Cr 2.94-3.04
Sb 0.0000 0.5000 0.0000 [2 per cell]  4 Cr 2.72, 2 Zr 2.94, 2 Sb 3.04


No. 7
ZrCrSb2: relaxed, PBE-GGA.

Summary:
- ΔE to the lowest computed polymorph: 0.139 eV/atom

Cell lengths 4.2633, 5.4831, 7.4686 Å; angles 90.00, 90.00, 90.00 degrees
Closest atoms and distances in Å follow each position.
Space group Cmmm (No. 65)
Symmetry-distinct sites (fractional):
Zr 0.0000 0.0000 0.0000 [2 per cell]  4 Sb 2.93
Cr 0.0000 0.0000 0.5000 [2 per cell]  4 Sb 2.74
Sb 0.0000 0.5000 0.2686 [4 per cell]  2 Cr 2.74, 2 Zr 2.93


No. 8
ZrCr2Sb: relaxed, PBE-GGA.

Cell lengths 3.0730, 3.0730, 7.2504 Å; angles 90.00, 90.00, 90.00 degrees
Closest atoms and distances in Å follow each position.
Space group P4mm (No. 99)
Symmetry-distinct sites (fractional):
Zr 0.0000 0.0000 0.0000 [1 per cell]  5 Cr 2.88-3.08, 4 Zr 3.07
Cr 0.0000 0.0000 0.4252 [1 per cell]  4 Cr 2.48
Cr 0.5000 0.5000 0.2614 [1 per cell]  4 Cr 2.48
Sb 0.5000 0.5000 0.6668 [1 per cell]  5 Cr 2.79-2.94, 4 Sb 3.07


No. 9
ZrCrSb2: relaxed, PBE-GGA.

Summary:
- ΔE to the lowest computed polymorph: 0.496 eV/atom

Cell lengths 6.8980, 6.8980, 6.8980 Å; angles 90.00, 90.00, 90.00 degrees
Closest atoms and distances in Å follow each position.
Space group F-43m (No. 216)
Symmetry-distinct sites (fractional):
Zr 0.0000 0.0000 0.0000 [4 per cell]  4 Cr 2.99, 4 Sb 2.99
Cr 0.2500 0.2500 0.2500 [4 per cell]  4 Zr 2.99, 4 Sb 2.99
Sb 0.0000 0.0000 0.5000 [4 per cell]  4 Cr 2.99, 4 Sb 2.99
Sb 0.2500 0.2500 0.7500 [4 per cell]  4 Zr 2.99, 4 Sb 2.99


No. 10
ZrCr2Sb: relaxed, PBE-GGA.

Cell lengths 3.3356, 3.3356, 6.1023 Å; angles 90.00, 90.00, 90.00 degrees
Closest atoms and distances in Å follow each position.
Space group P4/mmm (No. 123)
Symmetry-distinct sites (fractional):
Zr 0.0000 0.0000 0.0000 [1 per cell]  8 Cr 2.84, 2 Sb 3.05
Cr 0.5000 0.5000 0.2600 [2 per cell]  4 Sb 2.78, 4 Zr 2.84, 1 Cr 2.93
Sb 0.0000 0.0000 0.5000 [1 per cell]  8 Cr 2.78, 2 Zr 3.05


No. 11
ZrCrSb2: relaxed, PBE-GGA.

Summary:
- ΔE to the lowest computed polymorph: 0.344 eV/atom

Cell lengths 3.3589, 3.3589, 26.7933 Å; angles 90.00, 90.00, 120.00 degrees
Closest atoms and distances in Å follow each position.
Space group R3m (No. 160, hexagonal axes)
Symmetry-distinct sites (fractional):
Zr 0.0000 0.0000 0.0000 [3 per cell]  3 Cr 2.74, 3 Sb 3.07
Cr 0.0000 0.0000 0.2609 [3 per cell]  3 Sb 2.64, 3 Zr 2.74
Sb 0.0000 0.0000 0.5275 [3 per cell]  3 Cr 2.64
Sb 0.0000 0.0000 0.7556 [3 per cell]  3 Zr 3.07, 9 Sb 3.36-3.42


No. 12
ZrCrSb2: relaxed, PBE-GGA.

Summary:
- ΔE to the lowest computed polymorph: 0.028 eV/atom

Cell lengths 3.8340, 4.3123, 5.8269 Å; angles 90.00, 109.11, 90.00 degrees
Closest atoms and distances in Å follow each position.
Space group Pm (No. 6)
Symmetry-distinct sites (fractional):
Zr 0.0000 0.0000 0.0000 [1 per cell]  7 Sb 2.95-3.12, 2 Cr 3.02
Cr 0.1926 0.5000 0.3831 [1 per cell]  5 Sb 2.76-2.90, 2 Zr 3.02
Sb 0.4422 0.5000 0.8845 [1 per cell]  1 Cr 2.76, 4 Zr 2.95-2.96
Sb 0.7168 0.0000 0.4333 [1 per cell]  4 Cr 2.90, 3 Zr 3.06-3.12


The total DFT energy (no corrections) results, record by record, are as follows: -6.53 -5.16 -7.63 -7.50 -7.45 -7.60 -6.64 -7.85 -6.29 -7.86 -6.44 -6.75 eV/atom.
The formation energy from raw total energies results, record by record, are as follows: 0.071 0.613 0.348 0.478 -0.016 0.381 -0.040 0.127 0.317 0.122 0.165 -0.151 eV per atom.
The ρ results, record by record, are as follows: 6.94 6.56 7.20 6.68 7.44 7.45 7.36 7.69 7.83 7.75 7.36 7.05 Mg/m³.